{
  "formula": "Ac2PIr3",
  "functional": "PBE",
  "state": "optimized geometry",
  "delta_e_f_mev_per_atom": -800.4,
  "n_ef_per_ev_cell": 7.25,
  "lattice": [[0.000, 4.425, 7.377], [4.267, 0.000, 7.377], [4.267, 4.425, 0.000]],
  "species": ["Ac", "Ac", "Ac", "Ac", "P", "P", "Ir", "Ir", "Ir", "Ir", "Ir", "Ir"],
  "frac_coords": [[0.247, 0.753, 0.247], [0.250, 0.250, 0.250], [0.750, 0.750, 0.750], [0.753, 0.247, 0.753], [0.168, 0.168, 0.832], [0.832, 0.832, 0.168], [0.145, 0.678, 0.855], [0.322, 0.855, 0.678], [0.324, 0.324, 0.676], [0.676, 0.676, 0.324], [0.678, 0.145, 0.322], [0.855, 0.322, 0.145]]
}